{
  "formula": "BaPmAl4",
  "functional": "PBE-GGA",
  "state": "optimized geometry",
  "cell": [[-1.2221, -5.4258, -1.7552], [3.3657, -4.4455, 1.7095], [-2.0463, -3.9077, 3.8152]],
  "species": ["Al", "Al", "Al", "Al", "Ba", "Pm"],
  "fractional_positions": [[0.1234, 0.6255, 0.6255], [0.6255, 0.6255, 0.1234], [0.6255, 0.1234, 0.6255], [0.6255, 0.6255, 0.6255], [0.2500, 0.2500, 0.2500], [0.0000, 0.0000, 0.0000]],
  "final_energy_ev_per_atom": -3.904
}